A plane-wave DFT calculation with PBE was carried out for crystalline Hf2BAu at its relaxed geometry.

POSCAR file:
```
Hf2BAu
1.0
-3.384 3.384 3.223
3.384 -3.384 3.223
3.384 3.384 -3.223
Hf B Au
4 2 2
direct
0.069 0.625 0.944
0.375 0.319 0.444
0.681 0.125 0.056
0.875 0.931 0.556
0.000 0.000 0.000
0.750 0.250 0.500
0.250 0.750 0.500
0.500 0.500 0.000
```

Calculated values
The formation energy comes out at -4.6 kJ per mole of atoms. The value obtained for the total magnetization is 0.0 μB per cell. The value obtained for the calculated volume is 18.46 A^3/atom. For the density of states at the Fermi level, the calculation gives 1.47 states/eV/f.u. The symmetry is I-42d.